1.
# Y2Re (PBE, relaxed)
# Total moment, μB per atom: 0.000
# Formation enthalpy at 0 K, eV per atom: 0.134
data_Y2Re
_cell_length_a 11.349
_cell_length_b 4.208
_cell_length_c 6.652
_cell_angle_alpha 90.00
_cell_angle_beta 95.04
_cell_angle_gamma 90.00
_space_group_name_H-M_alt 'C 1 m 1'
_space_group_IT_number 8
_space_group_name_Hall 'C -2y'
loop_
_atom_site_label
_atom_site_type_symbol
_atom_site_fract_x
_atom_site_fract_y
_atom_site_fract_z
_atom_site_occupancy
Y1 Y 0.000 0.000 0.000 1
Y2 Y 0.104 0.500 0.393 1
Y3 Y 0.210 0.500 0.919 1
Y4 Y 0.356 0.000 0.660 1
Re1 Re 0.313 0.000 0.183 1
Re2 Re 0.363 0.500 0.356 1

=====

2.
# Y5Re4 (PBE, relaxed)
# Total moment, μB per atom: 0.000
# Energy above the lowest structure with this stoichiometry, eV/atom: 0.000
# Formation enthalpy at 0 K, eV per atom: 0.460
data_Y5Re4
_cell_length_a 10.688
_cell_length_b 10.688
_cell_length_c 3.372
_cell_angle_alpha 90.00
_cell_angle_beta 90.00
_cell_angle_gamma 90.00
_space_group_name_H-M_alt 'I 4/m m m'
_space_group_IT_number 139
_space_group_name_Hall '-I 4 2'
loop_
_atom_site_label
_atom_site_type_symbol
_atom_site_fract_x
_atom_site_fract_y
_atom_site_fract_z
_atom_site_occupancy
Y1 Y 0.000 0.000 0.000 1
Y2 Y 0.169 0.169 0.500 1
Re1 Re 0.000 0.361 0.000 1

=====

3.
# Y3Re (PBE, relaxed)
# Total moment, μB per atom: 0.000
# Formation enthalpy at 0 K, eV per atom: 0.359
data_Y3Re
_cell_length_a 3.4556
_cell_length_b 3.4556
_cell_length_c 31.2893
_cell_angle_alpha 90.00
_cell_angle_beta 90.00
_cell_angle_gamma 120.00
_space_group_name_H-M_alt 'R -3 m'
_space_group_IT_number 166
_space_group_name_Hall '-R 3 2"'
loop_
_atom_site_label
_atom_site_type_symbol
_atom_site_fract_x
_atom_site_fract_y
_atom_site_fract_z
_atom_site_occupancy
Y1 Y 0.0000 0.0000 0.0000 1
Y2 Y 0.0000 0.0000 0.2328 1
Re1 Re 0.0000 0.0000 0.5000 1

=====

4.
# Y3Re2 (PBE, relaxed)
# Total moment, μB per atom: 0.000
# Energy above the lowest structure with this stoichiometry, eV/atom: 0.401
# Formation enthalpy at 0 K, eV per atom: 0.571
data_Y3Re2
_cell_length_a 3.4086
_cell_length_b 3.4086
_cell_length_c 35.1997
_cell_angle_alpha 90.00
_cell_angle_beta 90.00
_cell_angle_gamma 120.00
_space_group_name_H-M_alt 'R -3 m'
_space_group_IT_number 166
_space_group_name_Hall '-R 3 2"'
loop_
_atom_site_label
_atom_site_type_symbol
_atom_site_fract_x
_atom_site_fract_y
_atom_site_fract_z
_atom_site_occupancy
Y1 Y 0.0000 0.0000 0.0000 1
Y2 Y 0.0000 0.0000 0.2138 1
Re1 Re 0.0000 0.0000 0.3956 1

=====

5.
# YRe8 (PBE, relaxed)
# Total moment, μB per atom: 0.000
# Formation enthalpy at 0 K, eV per atom: 0.130
data_YRe8
_cell_length_a 8.512
_cell_length_b 8.512
_cell_length_c 4.108
_cell_angle_alpha 90.00
_cell_angle_beta 90.00
_cell_angle_gamma 90.00
_space_group_name_H-M_alt 'I 4/m m m'
_space_group_IT_number 139
_space_group_name_Hall '-I 4 2'
loop_
_atom_site_label
_atom_site_type_symbol
_atom_site_fract_x
_atom_site_fract_y
_atom_site_fract_z
_atom_site_occupancy
Y1 Y 0.000 0.000 0.000 1
Re1 Re 0.000 0.350 0.000 1
Re2 Re 0.187 0.187 0.500 1

=====

6.
# Y2Re (PBE, relaxed)
# Total moment, μB per atom: 0.000
# Formation enthalpy at 0 K, eV per atom: 0.494
data_Y2Re
_cell_length_a 4.350
_cell_length_b 4.350
_cell_length_c 29.878
_cell_angle_alpha 90.00
_cell_angle_beta 90.00
_cell_angle_gamma 90.00
_space_group_name_H-M_alt 'I 41/a m d'
_space_group_IT_number 141
loop_
_space_group_symop_operation_xyz
'x,y,z'
'-x,-y,-z'
'-y+1/4,x+3/4,z+1/4'
'y+1/4,-x+3/4,-z+1/4'
'-x+1/2,-y,z+1/2'
'x+1/2,y,-z+1/2'
'y+1/4,-x+1/4,z+3/4'
'-y+1/4,x+1/4,-z+3/4'
'x,-y,-z'
'-x,y,z'
'-y+1/4,-x+1/4,-z+3/4'
'y+1/4,x+1/4,z+3/4'
'-x+1/2,y,-z+1/2'
'x+1/2,-y,z+1/2'
'y+1/4,x+3/4,-z+1/4'
'-y+1/4,-x+3/4,z+1/4'
'x+1/2,y+1/2,z+1/2'
'-x+1/2,-y+1/2,-z+1/2'
'-y+3/4,x+1/4,z+3/4'
'y+3/4,-x+1/4,-z+3/4'
'-x,-y+1/2,z'
'x,y+1/2,-z'
'y+3/4,-x+3/4,z+1/4'
'-y+3/4,x+3/4,-z+1/4'
'x+1/2,-y+1/2,-z+1/2'
'-x+1/2,y+1/2,z+1/2'
'-y+3/4,-x+3/4,-z+1/4'
'y+3/4,x+3/4,z+1/4'
'-x,y+1/2,-z'
'x,-y+1/2,z'
'y+3/4,x+1/4,-z+3/4'
'-y+3/4,-x+1/4,z+3/4'
loop_
_atom_site_label
_atom_site_type_symbol
_atom_site_fract_x
_atom_site_fract_y
_atom_site_fract_z
_atom_site_occupancy
Y1 Y 0.000 0.250 0.125 1
Y2 Y 0.000 0.250 0.288 1
Re1 Re 0.000 0.250 0.800 1

=====

7.
# Y2Re (PBE, relaxed)
# Total moment, μB per atom: 0.000
# Formation enthalpy at 0 K, eV per atom: 0.362
data_Y2Re
_cell_length_a 6.811
_cell_length_b 6.811
_cell_length_c 6.811
_cell_angle_alpha 90.00
_cell_angle_beta 90.00
_cell_angle_gamma 90.00
_space_group_name_H-M_alt 'F m -3 m'
_space_group_IT_number 225
_space_group_name_Hall '-F 4 2 3'
loop_
_atom_site_label
_atom_site_type_symbol
_atom_site_fract_x
_atom_site_fract_y
_atom_site_fract_z
_atom_site_occupancy
Y1 Y 0.250 0.250 0.250 1
Re1 Re 0.000 0.000 0.000 1

=====

8.
# Y2Re (PBE, relaxed)
# Total moment, μB per atom: 0.000
# Formation enthalpy at 0 K, eV per atom: 0.372
data_Y2Re
_cell_length_a 4.921
_cell_length_b 4.921
_cell_length_c 3.319
_cell_angle_alpha 90.00
_cell_angle_beta 90.00
_cell_angle_gamma 90.00
_space_group_name_H-M_alt 'P 4/m m m'
_space_group_IT_number 123
_space_group_name_Hall '-P 4 2'
loop_
_atom_site_label
_atom_site_type_symbol
_atom_site_fract_x
_atom_site_fract_y
_atom_site_fract_z
_atom_site_occupancy
Y1 Y 0.000 0.500 0.000 1
Re1 Re 0.000 0.000 0.500 1

=====

9.
# Y3Re (PBE, relaxed)
# Total moment, μB per atom: 0.000
# Formation enthalpy at 0 K, eV per atom: 0.175
data_Y3Re
_cell_length_a 3.619
_cell_length_b 5.308
_cell_length_c 10.965
_cell_angle_alpha 90.00
_cell_angle_beta 90.00
_cell_angle_gamma 90.00
_space_group_name_H-M_alt 'I m m m'
_space_group_IT_number 71
_space_group_name_Hall '-I 2 2'
loop_
_atom_site_label
_atom_site_type_symbol
_atom_site_fract_x
_atom_site_fract_y
_atom_site_fract_z
_atom_site_occupancy
Y1 Y 0.000 0.000 0.000 1
Y2 Y 0.000 0.500 0.199 1
Re1 Re 0.000 0.000 0.500 1

=====

10.
# Y2Re (PBE, relaxed)
# Total moment, μB per atom: 0.000
# Formation enthalpy at 0 K, eV per atom: 0.341
data_Y2Re
_cell_length_a 4.8590
_cell_length_b 4.8590
_cell_length_c 3.3946
_cell_angle_alpha 90.00
_cell_angle_beta 90.00
_cell_angle_gamma 120.00
_space_group_name_H-M_alt 'P -3 m 1'
_space_group_IT_number 164
_space_group_name_Hall '-P 3 2"'
loop_
_atom_site_label
_atom_site_type_symbol
_atom_site_fract_x
_atom_site_fract_y
_atom_site_fract_z
_atom_site_occupancy
Y1 Y 0.3333 0.6667 0.2691 1
Re1 Re 0.0000 0.0000 0.0000 1

=====

11.
# Y3Re (PBE, relaxed)
# Total moment, μB per atom: 0.000
# Formation enthalpy at 0 K, eV per atom: 0.459
data_Y3Re
_cell_length_a 5.834
_cell_length_b 5.834
_cell_length_c 5.834
_cell_angle_alpha 90.00
_cell_angle_beta 90.00
_cell_angle_gamma 90.00
_space_group_name_H-M_alt 'P m -3 n'
_space_group_IT_number 223
_space_group_name_Hall '-P 4n 2 3'
loop_
_atom_site_label
_atom_site_type_symbol
_atom_site_fract_x
_atom_site_fract_y
_atom_site_fract_z
_atom_site_occupancy
Y1 Y 0.000 0.250 0.500 1
Re1 Re 0.000 0.000 0.000 1

=====

12.
# Y2Re (PBE, relaxed)
# Total moment, μB per atom: 0.000
# Formation enthalpy at 0 K, eV per atom: 0.421
data_Y2Re
_cell_length_a 6.921
_cell_length_b 7.081
_cell_length_c 3.374
_cell_angle_alpha 90.00
_cell_angle_beta 90.00
_cell_angle_gamma 90.00
_space_group_name_H-M_alt 'P n n m'
_space_group_IT_number 58
_space_group_name_Hall '-P 2 2n'
loop_
_atom_site_label
_atom_site_type_symbol
_atom_site_fract_x
_atom_site_fract_y
_atom_site_fract_z
_atom_site_occupancy
Y1 Y 0.218 0.166 0.000 1
Re1 Re 0.000 0.500 0.000 1

=====

Q: Which of these has the highest formation enthalpy at 0 K?
A: Y3Re2

=====

Q: What is the formula in the eleventh record?
A: Y3Re